Entry 1:
# Ho4Zr3O12

A PBEsol-optimized structure of Ho4Zr3O12 (SCAN, the Alexandria database).

The structure in POSCAR format:
```
Ho4Zr3O12
1.0
6.308 -0.007 0.010
-1.034 6.293 -0.007
-2.053 -2.395 12.243
O Ho Zr
24 8 6
Direct
0.409 0.567 0.158
0.587 0.819 0.962
0.316 0.962 0.294
0.173 0.577 0.967
0.413 0.181 0.038
0.684 0.038 0.706
0.968 0.106 0.911
0.075 0.926 0.593
0.185 0.594 0.472
0.827 0.423 0.033
0.928 0.682 0.279
0.032 0.894 0.089
0.429 0.582 0.658
0.927 0.693 0.792
0.322 0.941 0.782
0.925 0.074 0.407
0.564 0.831 0.462
0.072 0.318 0.721
0.815 0.406 0.528
0.571 0.418 0.342
0.436 0.169 0.538
0.591 0.433 0.842
0.678 0.059 0.218
0.073 0.307 0.208
0.386 0.866 0.098
0.690 0.390 0.182
0.142 0.306 0.553
0.614 0.134 0.902
0.310 0.610 0.818
0.858 0.694 0.447
0.703 0.388 0.681
0.297 0.612 0.319
0.853 0.675 0.946
0.992 0.994 0.247
0.147 0.325 0.054
0.008 0.006 0.753
0.610 0.143 0.404
0.390 0.857 0.596
```

Properties
symmetry: P-1 (2)
ΔE_f (raw): -3.9057 eV/atom
size of the total moment: 0.0 μB/cell
final energy: -23.00 eV/atom

---

Entry 2:
# Cu3BRh

A PBEsol-optimized structure of Cu3BRh (SCAN, the Alexandria database).

The structure in POSCAR format:
```
Cu3BRh
1.0
4.518 0.000 0.000
0.000 4.518 0.000
0.000 0.000 4.518
Rh Cu B
1 3 1
Direct
0.000 0.000 0.000
0.500 0.000 0.000
0.000 0.500 0.000
0.000 0.000 0.500
0.500 0.500 0.500
```

Properties
symmetry: Pm-3m (221)
E_form: 1996 meV per atom
size of the total moment: 0.0 μB/cell
final energy: -15.36 eV/atom

---

Entry 3:
# ZrPPt3

A PBEsol-optimized structure of ZrPPt3 (SCAN, the Alexandria database).

The structure in POSCAR format:
```
ZrPPt3
1.0
4.481 0.000 0.000
0.000 4.481 0.000
0.000 0.000 4.481
Pt Zr P
3 1 1
Direct
0.000 0.500 0.000
0.000 0.000 0.500
0.500 0.000 0.000
0.500 0.500 0.500
0.000 0.000 0.000
```

Properties
symmetry: Pm-3m (221)
E_form: -331 meV per atom
size of the total moment: 0.0 μB/cell
final energy: -50.67 eV/atom

---

Entry 4:
# Sc2ZnPt

A PBEsol-optimized structure of Sc2ZnPt (SCAN, the Alexandria database).

The structure in POSCAR format:
```
Sc2ZnPt
1.0
3.397 0.000 0.000
0.000 4.418 0.000
-1.698 -2.209 4.736
Zn Sc Pt
1 2 1
Direct
0.525 0.525 0.051
0.976 0.976 0.952
0.753 0.253 0.507
0.245 0.745 0.490
```

Properties
symmetry: Imm2 (44)
E_form: -826 meV per atom
size of the total moment: 0.0 μB/cell
final energy: -28.87 eV/atom

---

Entry 5:
# Zn5P6H18O30

A PBEsol-optimized structure of Zn5P6H18O30 (SCAN, the Alexandria database).

The structure in POSCAR format:
```
Zn5P6H18O30
1.0
8.310 -0.105 -0.086
-1.290 9.844 -0.045
-3.646 -4.234 8.100
O P H Zn
30 6 18 5
Direct
0.578 0.370 0.885
0.191 0.370 0.983
0.768 0.188 0.687
0.002 0.482 0.309
0.556 0.046 0.850
0.276 0.886 0.844
0.228 0.092 0.065
0.998 0.518 0.691
0.232 0.812 0.313
0.534 0.410 0.134
0.683 0.722 0.618
0.772 0.908 0.935
0.659 0.903 0.470
0.898 0.197 0.031
0.371 0.519 0.295
0.983 0.035 0.697
0.102 0.803 0.969
0.017 0.965 0.303
0.684 0.419 0.436
0.466 0.590 0.866
0.444 0.954 0.150
0.316 0.581 0.564
0.422 0.630 0.115
0.871 0.120 0.472
0.724 0.114 0.156
0.317 0.278 0.382
0.129 0.880 0.528
0.629 0.481 0.705
0.341 0.097 0.530
0.809 0.630 0.017
0.623 0.519 0.868
0.262 0.935 0.008
0.738 0.065 0.992
0.377 0.481 0.132
0.184 0.940 0.420
0.816 0.060 0.580
0.080 0.944 0.603
0.688 0.427 0.340
0.028 0.620 0.786
0.617 0.050 0.158
0.440 0.610 0.967
0.560 0.390 0.033
0.185 0.533 0.463
0.920 0.056 0.397
0.383 0.950 0.842
0.312 0.573 0.660
0.664 0.784 0.556
0.815 0.467 0.537
0.016 0.558 0.271
0.972 0.380 0.214
0.700 0.791 0.732
0.336 0.216 0.444
0.300 0.209 0.268
0.984 0.442 0.729
0.937 0.833 0.066
0.564 0.168 0.735
0.500 0.500 0.500
0.436 0.832 0.265
0.063 0.167 0.934
```

Properties
symmetry: P-1 (2)
size of the total moment: 2.2 μB/cell
final energy: -8.04 eV/atom

---

Entry 6:
# Ta2Te2P

A PBEsol-optimized structure of Ta2Te2P (SCAN, the Alexandria database).

The structure in POSCAR format:
```
Ta2Te2P
1.0
4.485 0.000 0.000
0.000 4.485 0.000
-2.243 -2.243 5.838
Te P Ta
2 1 2
Direct
0.750 0.250 0.500
0.250 0.750 0.500
0.000 0.000 0.000
0.387 0.387 0.774
0.613 0.613 0.226
```

Properties
symmetry: I4/mmm (139)
ΔE_f (raw): 0.8029 eV/atom
size of the total moment: 0.0 μB/cell
final energy: -42.81 eV/atom